A plane-wave DFT calculation with PBE was carried out for a geometry-optimized KSbIO6 structure.

Unit cell a=5.4332 b=5.4332 c=6.0561 alpha=90.00 beta=90.00 gamma=120.00
Space group P312 (No. 149)
Asymmetric unit:
K: 0.0000 0.0000 0.0000 [1 per cell]
Sb: 0.3333 0.6667 0.5000 [1 per cell]
I: 0.6667 0.3333 0.5000 [1 per cell]
O: 0.9995 0.3883 0.6879 [6 per cell]

For the density, the calculation gives 4.12 Mg/m³. The electronic total energy comes out at -5.03 eV per atom. Its uncorrected formation energy is -0.97 eV/atom. The calculation puts the total magnetization at 0.19 μB per formula unit.